First-principles (PBE with a Hubbard U) data for a relaxed structure of ZnNiPd2F8, as listed in Alexandria.

Cell and atoms, written as extended XYZ:
```
12
Lattice="5.9645 0.9143 0.0000 -1.8259 5.7513 0.0000 -2.0693 -3.3328 4.5850" Properties=species:S:1:pos:R:3 pbc="T T T"
F 3.7185 4.2722 0.9056
F 0.1104 1.8948 3.6793
F 1.3105 -0.4798 1.3665
F -0.1104 -1.8948 3.6793
F 4.6540 1.3941 1.3665
F 2.8840 -1.4567 3.2185
F 0.4201 2.3935 0.9056
F 3.0806 2.3710 3.2185
Zn -0.9130 2.8757 2.2925
Pd 2.9823 0.4572 2.2925
Pd 2.0693 3.3328 0.0000
Ni 0.0000 0.0000 0.0000
```

Values from the calculation:
Mass density = 4922 kg/m³
Electronic total energy = -44.94 eV per cell
Magnetization = 6.00 μB per formula unit
SG = I-4m2